(1)
DFT (GGA-PBEsol) results for a relaxed CuRhSe4 crystal.

Structure (CIF):
```
data_CuRhSe4
_chemical_formula_sum 'Cu4 Rh4 Se16'
_cell_length_a 7.647
_cell_length_b 7.647
_cell_length_c 7.647
_cell_angle_alpha 90.00
_cell_angle_beta 90.00
_cell_angle_gamma 90.00
_symmetry_space_group_name_H-M 'F -4 3 m'
_symmetry_Int_Tables_number 216
_symmetry_space_group_name_Hall 'F -4 2 3'
loop_
_atom_site_label
_atom_site_type_symbol
_atom_site_fract_x
_atom_site_fract_y
_atom_site_fract_z
Cu1 Cu 0.000 0.000 0.000
Rh1 Rh 0.250 0.250 0.250
Se1 Se 0.125 0.125 0.625
```

## Properties
* magnetic moment: 0.34 Bohr magnetons per cell
* E_tot: -3.689 eV per atom


(2)
DFT (GGA-PBEsol) results for a relaxed CuRh2Se crystal.

Structure (CIF):
```
data_CuRh2Se
_chemical_formula_sum 'Cu2 Rh4 Se2'
_cell_length_a 9.156
_cell_length_b 2.921
_cell_length_c 4.335
_cell_angle_alpha 90.00
_cell_angle_beta 108.40
_cell_angle_gamma 90.00
_symmetry_space_group_name_H-M 'C 1 m 1'
_symmetry_Int_Tables_number 8
_symmetry_space_group_name_Hall 'C -2y'
loop_
_atom_site_label
_atom_site_type_symbol
_atom_site_fract_x
_atom_site_fract_y
_atom_site_fract_z
Cu1 Cu 0.000 0.000 0.000
Rh1 Rh 0.029 0.500 0.518
Rh2 Rh 0.250 0.500 0.158
Se1 Se 0.262 0.000 0.638
```

## Properties
* magnetic moment: 0.00 Bohr magnetons per cell
* E_tot: -6.056 eV per atom


(3)
DFT (GGA-PBEsol) results for a relaxed CuSiRh crystal.

Structure (CIF):
```
data_CuSiRh
_chemical_formula_sum 'Cu2 Si2 Rh2'
_cell_length_a 2.815
_cell_length_b 3.116
_cell_length_c 8.432
_cell_angle_alpha 90.00
_cell_angle_beta 90.00
_cell_angle_gamma 90.00
_symmetry_space_group_name_H-M 'I m m 2'
_symmetry_Int_Tables_number 44
_symmetry_space_group_name_Hall 'I 2 -2'
loop_
_atom_site_label
_atom_site_type_symbol
_atom_site_fract_x
_atom_site_fract_y
_atom_site_fract_z
Cu1 Cu 0.000 0.000 0.000
Si1 Si 0.000 0.000 0.343
Rh1 Rh 0.000 0.000 0.694
```

## Properties
* magnetic moment: 0.00 Bohr magnetons per cell
* E_tot: -6.476 eV per atom


(4)
DFT (GGA-PBEsol) results for a relaxed CuSiRh crystal.

Structure (CIF):
```
data_CuSiRh
_chemical_formula_sum 'Cu4 Si4 Rh4'
_cell_length_a 5.486
_cell_length_b 5.486
_cell_length_c 5.486
_cell_angle_alpha 90.00
_cell_angle_beta 90.00
_cell_angle_gamma 90.00
_symmetry_space_group_name_H-M 'F -4 3 m'
_symmetry_Int_Tables_number 216
_symmetry_space_group_name_Hall 'F -4 2 3'
loop_
_atom_site_label
_atom_site_type_symbol
_atom_site_fract_x
_atom_site_fract_y
_atom_site_fract_z
Cu1 Cu 0.000 0.000 0.000
Si1 Si 0.250 0.250 0.750
Rh1 Rh 0.000 0.000 0.500
```

## Properties
* magnetic moment: 0.00 Bohr magnetons per cell
* E_tot: -6.481 eV per atom


(5)
DFT (GGA-PBEsol) results for a relaxed CuSiRh3 crystal.

Structure (CIF):
```
data_CuSiRh3
_chemical_formula_sum 'Cu1 Si1 Rh3'
_cell_length_a 4.360
_cell_length_b 4.360
_cell_length_c 4.360
_cell_angle_alpha 90.00
_cell_angle_beta 90.00
_cell_angle_gamma 90.00
_symmetry_space_group_name_H-M 'P m -3 m'
_symmetry_Int_Tables_number 221
_symmetry_space_group_name_Hall '-P 4 2 3'
loop_
_atom_site_label
_atom_site_type_symbol
_atom_site_fract_x
_atom_site_fract_y
_atom_site_fract_z
Cu1 Cu 0.000 0.000 0.000
Si1 Si 0.500 0.500 0.500
Rh1 Rh 0.000 0.000 0.500
```

## Properties
* magnetic moment: 0.00 Bohr magnetons per cell
* E_tot: -5.658 eV per atom


(6)
DFT (GGA-PBEsol) results for a relaxed TiCuSn2Rh crystal.

Structure (CIF):
```
data_TiCuSn2Rh
_chemical_formula_sum 'Ti1 Cu1 Sn2 Rh1'
_cell_length_a 4.708
_cell_length_b 4.708
_cell_length_c 4.526
_cell_angle_alpha 90.00
_cell_angle_beta 90.00
_cell_angle_gamma 90.00
_symmetry_space_group_name_H-M 'P 4/m m m'
_symmetry_Int_Tables_number 123
_symmetry_space_group_name_Hall '-P 4 2'
loop_
_atom_site_label
_atom_site_type_symbol
_atom_site_fract_x
_atom_site_fract_y
_atom_site_fract_z
Ti1 Ti 0.000 0.000 0.000
Cu1 Cu 0.000 0.000 0.500
Sn1 Sn 0.000 0.500 0.500
Rh1 Rh 0.500 0.500 0.000
```

## Properties
* magnetic moment: 0.00 Bohr magnetons per cell
* E_tot: -5.196 eV per atom


(7)
DFT (GGA-PBEsol) results for a relaxed SrCu2Rh crystal.

Structure (CIF):
```
data_SrCu2Rh
_chemical_formula_sum 'Sr1 Cu2 Rh1'
_cell_length_a 3.166
_cell_length_b 3.166
_cell_length_c 6.765
_cell_angle_alpha 90.00
_cell_angle_beta 90.00
_cell_angle_gamma 90.00
_symmetry_space_group_name_H-M 'P 4 m m'
_symmetry_Int_Tables_number 99
_symmetry_space_group_name_Hall 'P 4 -2'
loop_
_atom_site_label
_atom_site_type_symbol
_atom_site_fract_x
_atom_site_fract_y
_atom_site_fract_z
Sr1 Sr 0.000 0.000 0.000
Cu1 Cu 0.000 0.000 0.500
Cu2 Cu 0.500 0.500 0.335
Rh1 Rh 0.500 0.500 0.700
```

## Properties
* magnetic moment: 0.00 Bohr magnetons per cell
* E_tot: -4.463 eV per atom
* excess energy over the best structure of this formula in the dataset: 268.9 meV/atom


(8)
DFT (GGA-PBEsol) results for a relaxed SrCu2Rh crystal.

Structure (CIF):
```
data_SrCu2Rh
_chemical_formula_sum 'Sr3 Cu6 Rh3'
_cell_length_a 4.2307
_cell_length_b 4.2307
_cell_length_c 15.2948
_cell_angle_alpha 90.00
_cell_angle_beta 90.00
_cell_angle_gamma 120.00
_symmetry_space_group_name_H-M 'R 3 m'
_symmetry_Int_Tables_number 160
_symmetry_space_group_name_Hall 'R 3 -2"'
loop_
_atom_site_label
_atom_site_type_symbol
_atom_site_fract_x
_atom_site_fract_y
_atom_site_fract_z
Sr1 Sr 0.0000 0.0000 0.0000
Cu1 Cu 0.0000 0.0000 0.5032
Cu2 Cu 0.0000 0.0000 0.8129
Rh1 Rh 0.0000 0.0000 0.1890
```

## Properties
* magnetic moment: 0.00 Bohr magnetons per cell
* E_tot: -4.726 eV per atom
* excess energy over the best structure of this formula in the dataset: 6.4 meV/atom


(9)
DFT (GGA-PBEsol) results for a relaxed SrCuRh2 crystal.

Structure (CIF):
```
data_SrCuRh2
_chemical_formula_sum 'Sr1 Cu1 Rh2'
_cell_length_a 3.209
_cell_length_b 3.209
_cell_length_c 6.842
_cell_angle_alpha 90.00
_cell_angle_beta 90.00
_cell_angle_gamma 90.00
_symmetry_space_group_name_H-M 'P 4 m m'
_symmetry_Int_Tables_number 99
_symmetry_space_group_name_Hall 'P 4 -2'
loop_
_atom_site_label
_atom_site_type_symbol
_atom_site_fract_x
_atom_site_fract_y
_atom_site_fract_z
Sr1 Sr 0.000 0.000 0.000
Cu1 Cu 0.500 0.500 0.318
Rh1 Rh 0.000 0.000 0.492
Rh2 Rh 0.500 0.500 0.686
```

## Properties
* magnetic moment: 0.00 Bohr magnetons per cell
* E_tot: -5.388 eV per atom
* excess energy over the best structure of this formula in the dataset: 0.0 meV/atom


(10)
DFT (GGA-PBEsol) results for a relaxed SrCu2Rh crystal.

Structure (CIF):
```
data_SrCu2Rh
_chemical_formula_sum 'Sr2 Cu4 Rh2'
_cell_length_a 7.304
_cell_length_b 4.219
_cell_length_c 5.623
_cell_angle_alpha 90.00
_cell_angle_beta 115.87
_cell_angle_gamma 90.00
_symmetry_space_group_name_H-M 'C 1 2/m 1'
_symmetry_Int_Tables_number 12
_symmetry_space_group_name_Hall '-C 2y'
loop_
_atom_site_label
_atom_site_type_symbol
_atom_site_fract_x
_atom_site_fract_y
_atom_site_fract_z
Sr1 Sr 0.000 0.000 0.000
Cu1 Cu 0.191 0.000 0.574
Rh1 Rh 0.000 0.500 0.500
```

## Properties
* magnetic moment: 0.00 Bohr magnetons per cell
* E_tot: -4.732 eV per atom
* excess energy over the best structure of this formula in the dataset: 0.0 meV/atom


(11)
DFT (GGA-PBEsol) results for a relaxed SrCuRh2 crystal.

Structure (CIF):
```
data_SrCuRh2
_chemical_formula_sum 'Sr2 Cu2 Rh4'
_cell_length_a 4.256
_cell_length_b 4.256
_cell_length_c 7.412
_cell_angle_alpha 90.00
_cell_angle_beta 90.00
_cell_angle_gamma 90.00
_symmetry_space_group_name_H-M 'I -4 m 2'
_symmetry_Int_Tables_number 119
_symmetry_space_group_name_Hall 'I -4 -2'
loop_
_atom_site_label
_atom_site_type_symbol
_atom_site_fract_x
_atom_site_fract_y
_atom_site_fract_z
Sr1 Sr 0.000 0.000 0.000
Cu1 Cu 0.000 0.500 0.250
Rh1 Rh 0.000 0.000 0.500
Rh2 Rh 0.000 0.500 0.750
```

## Properties
* magnetic moment: 1.40 Bohr magnetons per cell
* E_tot: -5.275 eV per atom
* excess energy over the best structure of this formula in the dataset: 112.8 meV/atom


(12)
DFT (GGA-PBEsol) results for a relaxed TaCuRh2 crystal.

Structure (CIF):
```
data_TaCuRh2
_chemical_formula_sum 'Ta1 Cu1 Rh2'
_cell_length_a 3.108
_cell_length_b 3.231
_cell_length_c 5.609
_cell_angle_alpha 90.00
_cell_angle_beta 90.00
_cell_angle_gamma 90.00
_symmetry_space_group_name_H-M 'P m m m'
_symmetry_Int_Tables_number 47
_symmetry_space_group_name_Hall '-P 2 2'
loop_
_atom_site_label
_atom_site_type_symbol
_atom_site_fract_x
_atom_site_fract_y
_atom_site_fract_z
Ta1 Ta 0.000 0.000 0.000
Cu1 Cu 0.000 0.000 0.500
Rh1 Rh 0.500 0.500 0.256
```

## Properties
* magnetic moment: 0.00 Bohr magnetons per cell
* E_tot: -8.694 eV per atom